Here is NaSc2MoO6 after structural relaxation from the Alexandria database. Energies are from PBE+U.

Properties
Total moment (μB/cell): 1.00
Symmetry: P1, No. 1
Total DFT energy (no corrections) (eV per atom): -7.6801
Density of states at the Fermi level (states/eV/atom): 0.00
V (Å³ per atom): 12.436

a b c (Å): 5.4287 5.4560 5.7794
angles (deg): 62.79 62.02 59.14
Closest atoms and distances in Å follow each position.
Fractional coordinates of all 10 atoms:
Na: 0.7879 0.8035 0.6093  4 O 2.27-2.52
Sc: 0.5125 0.5214 0.4384  6 O 2.08-2.21
Sc: 0.0187 0.0218 0.9533  5 O 2.03-2.22
Mo: 0.3141 0.3210 0.0417  6 O 1.90-2.08
O: 0.5944 0.2421 0.2332  1 Mo 2.05, 2 Sc 2.10-2.19
O: 0.2561 0.9297 0.2267  1 Mo 2.02, 2 Sc 2.08-2.22
O: 0.9459 0.5768 0.2312  1 Mo 1.90
O: 0.3651 0.7146 0.7594  2 Sc 2.03-2.17, 1 Mo 2.08, 1 Na 2.27
O: 0.7074 0.1626 0.7656  1 Mo 2.01, 2 Sc 2.06-2.21
O: 0.1595 0.3680 0.7564  2 Sc 2.04-2.16, 1 Mo 2.04